# LaPr3Y2Er6

Crystalline LaPr3Y2Er6 at its relaxed geometry (PBE, Alexandria).

abc: 6.2300 6.2300 11.8367
angles: 95.02 95.02 119.99
Fractional coordinates of all 12 atoms:
La (0.0000, 0.0000, 0.0000)
Pr (0.1671, 0.8329, 0.5000)
Pr (0.8329, 0.1671, 0.5000)
Pr (0.5000, 0.5000, 0.5000)
Y (0.3333, 0.6667, 0.0000)
Y (0.6667, 0.3333, 0.0000)
Er (0.9168, 0.5830, 0.7511)
Er (0.7492, 0.7492, 0.2491)
Er (0.0832, 0.4170, 0.2489)
Er (0.5830, 0.9168, 0.7511)
Er (0.2508, 0.2508, 0.7509)
Er (0.4170, 0.0832, 0.2489)

## Properties
Density of states at the Fermi level: 15.2 states/eV per cell
E: -4.942 eV per atom
E_form: 0.0221 eV per atom